Record 1
Compound: AcSmOs
Source: Alexandria
Functional: PBE-GGA
Structure: relaxed

Electronic total energy = -0.2453 hartree per atom
N(E_F) = 7.02 states/eV per cell
Energy above the most stable polymorph in this dataset = 45 meV per atom
SG = No. 71
Total magnetic moment = 0.20 μB per formula unit

Lattice parameters (Å, degrees): 7.514 7.514 7.514 148.66 124.01 65.58
Atoms (fractional coordinates):
Ac1 0.220 0.220 0.000
Ac2 0.780 0.780 0.000
Sm1 0.266 0.500 0.766
Sm2 0.734 0.500 0.234
Os1 0.391 0.891 0.500
Os2 0.609 0.109 0.500

Record 2
Compound: AcSmOs
Source: Alexandria
Functional: PBE-GGA
Structure: relaxed

Electronic total energy = -0.2459 hartree per atom
N(E_F) = 8.15 states/eV per cell
Energy above the most stable polymorph in this dataset = 28 meV per atom
SG = No. 64
Total magnetic moment = 0.00 μB per formula unit

Lattice parameters (Å, degrees): 7.813 7.813 7.507 90.00 90.00 129.36
Atoms (fractional coordinates):
Ac1 0.197 0.803 0.893
Ac2 0.303 0.697 0.393
Ac3 0.697 0.303 0.607
Ac4 0.803 0.197 0.107
Sm1 0.221 0.279 0.750
Sm2 0.279 0.221 0.250
Sm3 0.721 0.779 0.750
Sm4 0.779 0.721 0.250
Os1 0.110 0.890 0.542
Os2 0.390 0.610 0.042
Os3 0.610 0.390 0.958
Os4 0.890 0.110 0.458

Record 3
Compound: Ac3SmOs
Source: Alexandria
Functional: PBE-GGA
Structure: relaxed

Electronic total energy = -0.2037 hartree per atom
N(E_F) = 12.02 states/eV per cell
Energy above the most stable polymorph in this dataset = 0 meV per atom
SG = No. 2
Total magnetic moment = 0.00 μB per formula unit

Lattice parameters (Å, degrees): 6.346 6.566 10.139 88.00 80.37 61.60
Atoms (fractional coordinates):
Ac1 0.000 0.093 0.295
Ac2 0.000 0.907 0.705
Ac3 0.281 0.231 0.894
Ac4 0.370 0.448 0.196
Ac5 0.630 0.552 0.804
Ac6 0.719 0.769 0.106
Sm1 0.346 0.295 0.532
Sm2 0.654 0.705 0.468
Os1 0.157 0.792 0.983
Os2 0.843 0.208 0.017

Record 4
Compound: AcSmOs
Source: Alexandria
Functional: PBE-GGA
Structure: relaxed

Electronic total energy = -0.2441 hartree per atom
N(E_F) = 2.15 states/eV per cell
Energy above the most stable polymorph in this dataset = 78 meV per atom
SG = No. 107
Total magnetic moment = 0.00 μB per formula unit

Lattice parameters (Å, degrees): 7.525 7.525 7.525 152.46 152.46 39.35
Atoms (fractional coordinates):
Ac1 0.000 0.000 0.000
Sm1 0.755 0.755 0.000
Os1 0.368 0.368 0.000

Record 5
Compound: AcSm2Os
Source: Alexandria
Functional: PBE-GGA
Structure: relaxed

Electronic total energy = -0.2315 hartree per atom
N(E_F) = 16.01 states/eV per cell
Energy above the most stable polymorph in this dataset = 0 meV per atom
SG = No. 62
Total magnetic moment = 0.00 μB per formula unit

Lattice parameters (Å, degrees): 7.597 9.790 6.582 90.00 90.00 90.00
Atoms (fractional coordinates):
Ac1 0.044 0.250 0.142
Ac2 0.456 0.750 0.642
Ac3 0.544 0.250 0.358
Ac4 0.956 0.750 0.858
Sm1 0.172 0.070 0.668
Sm2 0.172 0.430 0.668
Sm3 0.328 0.570 0.168
Sm4 0.328 0.930 0.168
Sm5 0.672 0.070 0.832
Sm6 0.672 0.430 0.832
Sm7 0.828 0.570 0.332
Sm8 0.828 0.930 0.332
Os1 0.116 0.750 0.430
Os2 0.384 0.250 0.930
Os3 0.616 0.750 0.070
Os4 0.884 0.250 0.570

Record 6
Compound: Ac2SmOs
Source: Alexandria
Functional: PBE-GGA
Structure: relaxed

Electronic total energy = -0.2243 hartree per atom
N(E_F) = 3.37 states/eV per cell
SG = No. 44
Total magnetic moment = 0.00 μB per formula unit

Lattice parameters (Å, degrees): 7.124 7.124 7.124 144.17 60.09 133.46
Atoms (fractional coordinates):
Ac1 0.159 0.000 0.159
Ac2 0.841 0.000 0.841
Sm1 0.501 0.001 0.500
Os1 0.000 0.500 0.500

Record 7
Compound: AcSmOs
Source: Alexandria
Functional: PBE-GGA
Structure: relaxed

Electronic total energy = -0.2470 hartree per atom
N(E_F) = 2.25 states/eV per cell
Energy above the most stable polymorph in this dataset = 0 meV per atom
SG = No. 216
Total magnetic moment = 0.00 μB per formula unit

Lattice parameters (Å, degrees): 5.029 5.029 5.029 60.00 60.00 60.00
Atoms (fractional coordinates):
Ac1 0.000 0.000 0.000
Sm1 0.500 0.500 0.500
Os1 0.250 0.250 0.250

Record 8
Compound: Ac12Sn6Os
Source: Alexandria
Functional: PBE-GGA
Structure: relaxed

Electronic total energy = -0.1772 hartree per atom
N(E_F) = 22.92 states/eV per cell
SG = No. 148
Total magnetic moment = 0.00 μB per formula unit

Lattice parameters (Å, degrees): 9.418 9.418 9.418 99.14 99.14 99.14
Atoms (fractional coordinates):
Ac1 0.013 0.943 0.686
Ac2 0.057 0.314 0.987
Ac3 0.191 0.565 0.429
Ac4 0.314 0.987 0.057
Ac5 0.429 0.191 0.565
Ac6 0.435 0.571 0.809
Ac7 0.565 0.429 0.191
Ac8 0.571 0.809 0.435
Ac9 0.686 0.013 0.943
Ac10 0.809 0.435 0.571
Ac11 0.943 0.686 0.013
Ac12 0.987 0.057 0.314
Sn1 0.124 0.307 0.642
Sn2 0.307 0.642 0.124
Sn3 0.358 0.876 0.693
Sn4 0.642 0.124 0.307
Sn5 0.693 0.358 0.876
Sn6 0.876 0.693 0.358
Os1 0.000 0.000 0.000

Record 9
Compound: Ac3SnOs
Source: Alexandria
Functional: PBE-GGA
Structure: relaxed

Electronic total energy = -0.2100 hartree per atom
N(E_F) = 3.13 states/eV per cell
Energy above the most stable polymorph in this dataset = 64 meV per atom
SG = No. 221
Total magnetic moment = 0.00 μB per formula unit

Lattice parameters (Å, degrees): 5.727 5.727 5.727 90.00 90.00 90.00
Atoms (fractional coordinates):
Ac1 0.000 0.000 0.500
Ac2 0.000 0.500 0.000
Ac3 0.500 0.000 0.000
Sn1 0.500 0.500 0.500
Os1 0.000 0.000 0.000

Record 10
Compound: Ac3SnOs
Source: Alexandria
Functional: PBE-GGA
Structure: relaxed

Electronic total energy = -0.2123 hartree per atom
N(E_F) = 7.23 states/eV per cell
Energy above the most stable polymorph in this dataset = 0 meV per atom
SG = No. 12
Total magnetic moment = 0.00 μB per formula unit

Lattice parameters (Å, degrees): 8.468 8.468 9.474 94.69 94.69 32.34
Atoms (fractional coordinates):
Ac1 0.044 0.044 0.302
Ac2 0.246 0.246 0.662
Ac3 0.355 0.355 0.036
Ac4 0.645 0.645 0.964
Ac5 0.754 0.754 0.338
Ac6 0.956 0.956 0.698
Sn1 0.409 0.409 0.427
Sn2 0.591 0.591 0.573
Os1 0.191 0.191 0.158
Os2 0.809 0.809 0.842

Record 11
Compound: Ac12Sn5Os2
Source: Alexandria
Functional: PBE-GGA
Structure: relaxed

Electronic total energy = -0.1892 hartree per atom
N(E_F) = 17.27 states/eV per cell
SG = No. 12
Total magnetic moment = 0.91 μB per formula unit

Lattice parameters (Å, degrees): 10.277 10.277 10.571 104.96 104.96 48.11
Atoms (fractional coordinates):
Ac1 0.002 0.002 0.224
Ac2 0.076 0.603 0.918
Ac3 0.104 0.600 0.428
Ac4 0.397 0.924 0.082
Ac5 0.400 0.896 0.572
Ac6 0.497 0.497 0.177
Ac7 0.503 0.503 0.823
Ac8 0.600 0.104 0.428
Ac9 0.603 0.076 0.918
Ac10 0.896 0.400 0.572
Ac11 0.924 0.397 0.082
Ac12 0.998 0.998 0.776
Sn1 0.190 0.190 0.833
Sn2 0.199 0.199 0.362
Sn3 0.500 0.500 0.500
Sn4 0.801 0.801 0.638
Sn5 0.810 0.810 0.167
Os1 0.222 0.778 0.000
Os2 0.778 0.222 0.000

Record 12
Compound: Ac8Sn2Os
Source: Alexandria
Functional: PBE-GGA
Structure: relaxed

Electronic total energy = -0.1830 hartree per atom
N(E_F) = 13.39 states/eV per cell
SG = No. 12
Total magnetic moment = 0.00 μB per formula unit

Lattice parameters (Å, degrees): 10.598 10.598 8.807 95.73 95.73 26.15
Atoms (fractional coordinates):
Ac1 0.001 0.001 0.289
Ac2 0.216 0.216 0.851
Ac3 0.357 0.357 0.482
Ac4 0.403 0.403 0.974
Ac5 0.597 0.597 0.026
Ac6 0.643 0.643 0.518
Ac7 0.784 0.784 0.149
Ac8 0.999 0.999 0.711
Sn1 0.180 0.180 0.256
Sn2 0.820 0.820 0.744
Os1 0.500 0.500 0.500